No. 1
! CoTcS2 (PBE-GGA, relaxed); values from VASP
! N(E_F): 0.73 states/eV per atom
! Size of the total moment: 0.0 Bohr magnetons per cell
! ΔE_f (raw): 0.00 eV/atom
! E_tot: -6.43 eV/atom
&SYSTEM
  ibrav = 0, nat = 4, ntyp = 3
/
ATOMIC_SPECIES
S 32.06 S.upf
Co 58.93 Co.upf
Tc 98.00 Tc.upf
ATOMIC_POSITIONS crystal
S 0.896 0.896 0.896
S 0.104 0.104 0.104
Co 0.500 0.500 0.500
Tc 0.000 0.000 0.000
CELL_PARAMETERS angstrom
1.761 0.000 7.241
-0.880 1.525 7.241
-0.880 -1.525 7.241

=====

No. 2
! TiCo2TcS (PBE-GGA, relaxed); values from VASP
! N(E_F): 0.94 states/eV per atom
! Size of the total moment: 3.8 Bohr magnetons per cell
! ΔE_f (raw): 0.24 eV/atom
! E_tot: -7.08 eV/atom
&SYSTEM
  ibrav = 0, nat = 5, ntyp = 4
/
ATOMIC_SPECIES
S 32.06 S.upf
Co 58.93 Co.upf
Tc 98.00 Tc.upf
Ti 47.87 Ti.upf
ATOMIC_POSITIONS crystal
S 0.000 0.000 0.000
Co 0.000 0.000 0.500
Co 0.500 0.000 0.000
Tc 0.500 0.500 0.500
Ti 0.000 0.500 0.000
CELL_PARAMETERS angstrom
4.052 0.000 0.000
0.000 4.484 0.000
0.000 0.000 4.052